Model w:
Density functional theory data (PBE-GGA) for a relaxed structure of ZnFePbS3.

Cell lengths 6.865, 6.865, 9.549 Å; angles 90.00, 90.00, 148.03 degrees
Positions (direct):
Zn: 0.026 0.974 0.750
Zn: 0.974 0.026 0.250
Fe: 0.500 0.500 0.000
Fe: 0.500 0.500 0.500
Pb: 0.258 0.742 0.250
Pb: 0.742 0.258 0.750
S: 0.127 0.873 0.553
S: 0.127 0.873 0.947
S: 0.422 0.578 0.750
S: 0.578 0.422 0.250
S: 0.873 0.127 0.053
S: 0.873 0.127 0.447

## Properties
symmetry	Cmcm, No. 63

***

Model x:
Density functional theory data (PBE-GGA) for a relaxed structure of ZnFePbS3.

Cell lengths 6.711, 6.711, 9.776 Å; angles 90.00, 90.00, 147.12 degrees
Positions (direct):
Zn: 0.000 0.000 0.000
Zn: 0.000 0.000 0.500
Fe: 0.468 0.532 0.750
Fe: 0.532 0.468 0.250
Pb: 0.249 0.751 0.250
Pb: 0.751 0.249 0.750
S: 0.071 0.929 0.750
S: 0.371 0.629 0.556
S: 0.371 0.629 0.944
S: 0.629 0.371 0.056
S: 0.629 0.371 0.444
S: 0.929 0.071 0.250

## Properties
symmetry	Cmcm, No. 63

***

Relative calculated energies, zero for the most stable structure, unit meV/atom: model w 0; model x 9.

***

Model w:
Density functional theory data (PBE-GGA) for a relaxed structure of ScFeTcPb.

Cell lengths 4.640, 4.640, 4.640 Å; angles 60.00, 60.00, 60.00 degrees
Positions (direct):
Sc: 0.000 0.000 0.000
Fe: 0.500 0.500 0.500
Tc: 0.750 0.750 0.750
Pb: 0.250 0.250 0.250

## Properties
symmetry	F-43m, No. 216

***

Model x:
Density functional theory data (PBE-GGA) for a relaxed structure of ScFeTcPb.

Cell lengths 4.592, 4.592, 4.592 Å; angles 60.00, 60.00, 60.00 degrees
Positions (direct):
Sc: 0.000 0.000 0.000
Fe: 0.750 0.750 0.750
Tc: 0.250 0.250 0.250
Pb: 0.500 0.500 0.500

## Properties
symmetry	F-43m, No. 216

***

Relative calculated energies, zero for the most stable structure, unit meV/atom: model w 66; model x 0.

***

Model w:
Density functional theory data (PBE-GGA) for a relaxed structure of Fe2PbSe3.

Cell lengths 7.293, 7.293, 9.519 Å; angles 90.00, 90.00, 151.09 degrees
Positions (direct):
Fe: 0.000 0.000 0.000
Fe: 0.000 0.000 0.500
Fe: 0.459 0.541 0.750
Fe: 0.541 0.459 0.250
Pb: 0.228 0.772 0.250
Pb: 0.772 0.228 0.750
Se: 0.068 0.932 0.750
Se: 0.374 0.626 0.532
Se: 0.374 0.626 0.968
Se: 0.626 0.374 0.032
Se: 0.626 0.374 0.468
Se: 0.932 0.068 0.250

## Properties
symmetry	Cmcm, No. 63

***

Model x:
Density functional theory data (PBE-GGA) for a relaxed structure of Fe2PbSe3.

Cell lengths 5.001, 8.735, 13.075 Å; angles 90.00, 90.62, 90.00 degrees
Positions (direct):
Fe: 0.005 0.140 0.476
Fe: 0.005 0.360 0.976
Fe: 0.493 0.140 0.476
Fe: 0.493 0.360 0.976
Fe: 0.507 0.640 0.024
Fe: 0.507 0.860 0.524
Fe: 0.995 0.640 0.024
Fe: 0.995 0.860 0.524
Pb: 0.246 0.069 0.873
Pb: 0.246 0.431 0.373
Pb: 0.754 0.569 0.627
Pb: 0.754 0.931 0.127
Se: 0.246 0.549 0.885
Se: 0.246 0.951 0.385
Se: 0.252 0.175 0.079
Se: 0.252 0.325 0.579
Se: 0.255 0.726 0.165
Se: 0.255 0.774 0.665
Se: 0.745 0.226 0.335
Se: 0.745 0.274 0.835
Se: 0.748 0.675 0.421
Se: 0.748 0.825 0.921
Se: 0.754 0.049 0.615
Se: 0.754 0.451 0.115

## Properties
symmetry	P2_1/c, No. 14

***

Relative calculated energies, zero for the most stable structure, unit meV/atom: model w 75; model x 0.